Mn5Zn4Te3O18 | PBEsol | relaxed

a = 8.626 Å, b = 8.626 Å, c = 10.625 Å
α = 88.96°, β = 88.96°, γ = 63.24°
Last column: magnetic moment on the atom in μB.
Atoms (fractional coordinates):
Mn: 0.992 0.711 0.255  3.94
Mn: 0.711 0.992 0.755  3.94
Mn: 0.447 0.871 0.949  3.63
Mn: 0.871 0.447 0.449  3.63
Mn: 0.129 0.553 0.551  3.63
Mn: 0.828 0.172 0.250  3.65
Mn: 0.172 0.828 0.750  3.65
Mn: 0.553 0.129 0.051  3.63
Mn: 0.008 0.289 0.745  3.94
Mn: 0.289 0.008 0.245  3.94
Zn: 0.951 0.648 0.927  0.02
Zn: 0.323 0.600 0.054  0.03
Zn: 0.352 0.049 0.573  0.02
Zn: 0.400 0.677 0.446  0.03
Zn: 0.600 0.323 0.554  0.03
Zn: 0.648 0.951 0.427  0.02
Zn: 0.049 0.352 0.073  0.02
Zn: 0.677 0.400 0.946  0.03
Te: 0.335 0.341 0.310  0.05
Te: 0.000 0.000 0.000  0.08
Te: 0.000 0.000 0.500  0.08
Te: 0.341 0.335 0.810  0.05
Te: 0.665 0.659 0.690  0.05
Te: 0.659 0.665 0.190  0.05
O: 0.393 0.081 0.389  0.01
O: 0.037 0.781 0.428  0.08
O: 0.202 0.607 0.701  0.04
O: 0.076 0.053 0.837  0.06
O: 0.219 0.963 0.072  0.08
O: 0.947 0.924 0.663  0.06
O: 0.477 0.358 0.987  0.01
O: 0.752 0.113 0.448  0.07
O: 0.248 0.887 0.552  0.07
O: 0.749 0.763 0.824  0.04
O: 0.232 0.571 0.213  0.03
O: 0.251 0.237 0.176  0.04
O: 0.963 0.219 0.572  0.08
O: 0.096 0.442 0.398  0.05
O: 0.429 0.768 0.287  0.03
O: 0.523 0.642 0.013  0.01
O: 0.768 0.429 0.787  0.03
O: 0.558 0.904 0.102  0.05
O: 0.393 0.798 0.799  0.04
O: 0.571 0.232 0.713  0.03
O: 0.081 0.393 0.889  0.01
O: 0.904 0.558 0.602  0.05
O: 0.887 0.248 0.052  0.07
O: 0.358 0.477 0.487  0.01
O: 0.798 0.393 0.299  0.04
O: 0.053 0.076 0.337  0.06
O: 0.763 0.749 0.324  0.04
O: 0.642 0.523 0.513  0.01
O: 0.781 0.037 0.928  0.08
O: 0.442 0.096 0.898  0.05
O: 0.607 0.919 0.611  0.01
O: 0.924 0.947 0.163  0.06
O: 0.113 0.752 0.948  0.07
O: 0.237 0.251 0.676  0.04
O: 0.607 0.202 0.201  0.04
O: 0.919 0.607 0.111  0.01

Spin magnetization in μB/atom: 0.70
Raw formation energy in eV/atom: -1.307
Symmetry: C2/c (15)